DFT (PBE) results for a relaxed structure of Cu3NiH3.

It has space group C2/m (No. 12), with a = 5.250 Å, b = 8.232 Å, c = 5.204 Å, α = 90.00°, β = 93.18° and γ = 90.00°. The distinct sites, in fractional coordinates, are Cu at (0.000, 0.214, 0.000), Cu at (0.000, 0.279, 0.500), Cu at (0.165, 0.000, 0.332), Ni at (0.192, 0.500, 0.193), H at (0.116, 0.500, 0.882) and H at (0.227, 0.306, 0.248).

For the total energy, the calculation gives -3.93 eV/atom. Its volume is 225 Å³/cell.

***

DFT (PBE) results for a relaxed structure of Pm2Y12Tm5.

It has space group C2/m (No. 12), with a = 15.674 Å, b = 9.285 Å, c = 8.538 Å, α = 90.00°, β = 90.98° and γ = 90.00°. The distinct sites, in fractional coordinates, are Pm at (0.000, 0.181, 0.000), Y at (0.058, 0.000, 0.328), Y at (0.091, 0.500, 0.880), Y at (0.127, 0.192, 0.653), Y at (0.156, 0.319, 0.241), Tm at (0.000, 0.500, 0.500), Tm at (0.197, 0.000, 0.010) and Tm at (0.232, 0.500, 0.576).

Its volume is 1242 Å³/cell. The energy above the most stable polymorph in this dataset comes out at 194 kJ/mol of formula units. The formation energy from the elements comes out at 2.51 eV per formula unit.

***

DFT (PBE) results for a relaxed structure of Pm4NdTm.

It has space group F-43m (No. 216), with a = 9.439 Å, b = 9.439 Å, c = 9.439 Å, α = 90.00°, β = 90.00° and γ = 90.00°. The distinct sites, in fractional coordinates, are Pm at (0.124, 0.124, 0.376), Nd at (0.000, 0.000, 0.000) and Tm at (0.250, 0.250, 0.750).

Its volume is 841 Å³/cell. The energy above the most stable polymorph in this dataset comes out at 85 kJ/mol of formula units. The formation energy from the elements comes out at 1.55 eV per formula unit.

***

DFT (PBE) results for a relaxed structure of PaZnGaTc.

It has space group F-43m (No. 216), with a = 6.624 Å, b = 6.624 Å, c = 6.624 Å, α = 90.00°, β = 90.00° and γ = 90.00°. The distinct sites, in fractional coordinates, are Pa at (0.000, 0.000, 0.000), Zn at (0.250, 0.250, 0.250), Ga at (0.000, 0.000, 0.500) and Tc at (0.250, 0.250, 0.750).

Its volume is 291 Å³/cell. The formation energy from the elements comes out at -0.04 eV per formula unit.

***

DFT (PBE) results for a relaxed structure of HfSc2AgRu.

It has space group P4/mmm (No. 123), with a = 4.971 Å, b = 4.971 Å, c = 4.958 Å, α = 90.00°, β = 90.00° and γ = 90.00°. The distinct sites, in fractional coordinates, are Hf at (0.000, 0.000, 0.000), Sc at (0.000, 0.500, 0.500), Ag at (0.500, 0.500, 0.000) and Ru at (0.000, 0.000, 0.500).

Its volume is 123 Å³/cell. The energy above the most stable polymorph in this dataset comes out at 0 kJ/mol of formula units. The formation energy from the elements comes out at 0.54 eV per formula unit.

***

DFT (PBE) results for a relaxed structure of LiCd6Pb2.

It has space group P6/mmm (No. 191), with a = 8.7323 Å, b = 8.7323 Å, c = 3.4503 Å, α = 90.00°, β = 90.00° and γ = 120.00°. The distinct sites, in fractional coordinates, are Li at (0.0000, 0.0000, 0.0000), Cd at (0.0000, 0.3269, 0.5000) and Pb at (0.3333, 0.6667, 0.0000).

Its volume is 228 Å³/cell. The formation energy from the elements comes out at -0.10 eV per formula unit.

***

It is found that the spin magnetization values, taken in the order of the records, are 0.0; 0.0; 0.0; 0.0; 0.0; 0.0 μB per cell.